# 1
12
Lattice="-2.1934 -4.0479 -0.1626 5.6559 -5.8758 4.7219 -4.5840 -0.5617 10.5582" Properties=species:S:1:pos:R:3 comment="GGA-PBE Sm2AsI3, optimized geometry" magmom_total_mub_per_cell=0.00 dft_energy_ev_per_atom=-4.45 formation_energy_uncorrected_ev_per_atom=-1.322 pbc="T T T"
Sm -2.3901 -4.2261 6.9262
Sm 1.2687 -6.2594 8.1913
Sm 1.8111 -3.7828 4.4818
Sm -2.9325 -6.7026 10.6356
I -2.7529 -1.4757 8.6125
I 1.6315 -9.0097 6.5050
I 0.3283 -8.4586 10.3625
I -2.0280 -7.3124 13.6144
I -1.4498 -2.0269 4.7549
I 0.9066 -3.1731 1.5031
As -0.0593 -5.4438 5.8010
As -1.0622 -5.0416 9.3165

=====

# 2
4
Lattice="-0.6489 3.6660 1.9349 -3.8771 1.0972 1.1702 -0.4115 -1.8260 7.8709" Properties=species:S:1:pos:R:3 comment="GGA-PBE Sm2AsI, optimized geometry" magmom_total_mub_per_cell=0.00 dft_energy_ev_per_atom=-5.19 formation_energy_uncorrected_ev_per_atom=-1.279 pbc="T T T"
Sm -1.2881 0.9014 2.4095
Sm -0.6310 -1.1430 6.5032
I -2.4655 1.4584 5.5085
As -3.4332 1.3632 9.9136

=====

# 3
10
Lattice="4.1341 0.0000 0.9443 1.7487 6.9568 1.8659 -0.0106 -0.0410 9.5679" Properties=species:S:1:pos:R:3 comment="GGA-PBE Sm5As4I, optimized geometry" magmom_total_mub_per_cell=0.00 dft_energy_ev_per_atom=-5.82 formation_energy_uncorrected_ev_per_atom=-1.443 pbc="T T T"
As 1.5265 2.6381 2.8385
As 4.3456 4.2777 9.5397
As 2.8064 1.3948 6.7568
As 3.0657 5.5210 5.6214
Sm 3.6798 4.5403 2.9332
Sm 3.4305 0.6614 4.0245
Sm 2.1923 2.3755 9.4450
Sm 0.8690 3.4579 5.7169
Sm 2.4416 6.2544 8.3537
I 0.0000 0.0000 0.0000

=====

# 4
12
Lattice="-6.2863 2.7697 2.6463 -5.6007 -4.5436 -1.6557 -1.8747 -5.4117 4.6574" Properties=species:S:1:pos:R:3 comment="GGA-PBE Sm6As5I, optimized geometry" magmom_total_mub_per_cell=0.00 dft_energy_ev_per_atom=-5.89 formation_energy_uncorrected_ev_per_atom=-1.466 pbc="T T T"
I 0.0000 0.0000 0.0000
As -4.9856 -6.6300 1.9892
As -8.4491 -4.1588 1.4145
As -5.3127 -3.0268 4.2335
As -5.9435 -0.8870 0.4953
As -2.4898 -3.3253 1.0125
Sm -8.7381 -1.2739 0.7454
Sm -5.4268 -3.7264 1.4399
Sm -3.1489 -0.5000 0.2452
Sm -5.7989 -0.2907 3.4694
Sm -8.3349 -3.4592 4.2081
Sm -7.9629 -6.8949 2.1786

=====

# 5
20
Lattice="9.4506 -0.2497 -2.9089 -3.8705 8.6253 -2.9089 -0.1664 -0.2497 9.8868" Properties=species:S:1:pos:R:3 comment="GGA-PBE Sm7AsI12, optimized geometry" magmom_total_mub_per_cell=0.00 dft_energy_ev_per_atom=-4.16 formation_energy_uncorrected_ev_per_atom=-1.351 pbc="T T T"
I 5.5379 4.9322 1.0126
I 1.7450 0.4491 5.9014
I -1.9557 5.8521 0.0353
I 1.6452 7.0103 2.0417
I 3.5839 4.2184 5.0379
I 3.7685 1.1155 2.0271
I 5.5970 1.7834 -1.8884
I -0.1833 6.3424 5.9573
I 7.3695 2.2737 4.0336
I 1.8298 3.9074 -0.9691
I 3.6687 7.6767 -1.8325
I -0.1241 3.1936 3.0563
Sm -0.9110 2.6477 0.0253
Sm 4.6124 7.9468 1.3918
Sm 6.3248 5.4781 4.0435
Sm 2.7069 4.0629 2.0344
Sm 2.8821 7.3174 4.9510
Sm 2.5316 0.8084 -0.8822
Sm 0.8013 0.1790 2.6771
As 0.0000 0.0000 0.0000

=====

# 6
12
Lattice="4.3476 0.0000 0.0000 0.0000 8.8279 0.3582 -2.1738 -2.4996 9.2089" Properties=species:S:1:pos:R:3 comment="GGA-PBE Sm6Te3As2I, optimized geometry" magmom_total_mub_per_cell=0.00 dft_energy_ev_per_atom=-5.42 formation_energy_uncorrected_ev_per_atom=-1.373 pbc="T T T"
Sm 2.1738 3.9860 9.1652
Sm 2.1738 0.1978 3.3158
Sm 0.0000 2.1763 6.1682
Sm 0.0000 2.3424 0.4019
Sm 0.0000 6.1306 6.2512
Sm 2.1738 4.1521 3.3989
Te 0.0000 6.6133 3.2007
Te 2.1738 -0.2850 6.3664
Te 2.1738 4.4140 0.1791
As 0.0000 2.1427 3.2594
As 2.1738 4.1857 6.3077
I 2.1738 0.0000 0.0000

=====

# 7
14
Lattice="-1.8238 2.5906 3.0876 -1.3643 -7.3064 5.3245 11.4790 1.9411 5.1517" Properties=species:S:1:pos:R:3 comment="GGA-PBE Sn3AsI3, optimized geometry" magmom_total_mub_per_cell=0.00 dft_energy_ev_per_atom=-3.36 formation_energy_uncorrected_ev_per_atom=-0.316 pbc="T T T"
Sn 8.3008 2.7270 7.3688
Sn 6.2293 -0.6132 5.7787
Sn 5.2660 -4.8231 8.7419
Sn 2.0616 -2.1615 7.7852
Sn 3.0250 2.0483 4.8220
Sn -0.0098 -5.5018 6.1950
I -0.0884 1.2296 3.6699
I 8.3793 -4.0043 9.8939
I 4.9816 -1.4204 8.8881
I 9.0631 -0.3732 7.2511
I 3.3094 -1.3544 4.6757
I -0.7722 -2.4016 6.3127
As 2.6701 -5.0267 7.3794
As 5.6209 2.2519 6.1845

=====

# 8
5
Lattice="5.3220 0.0000 0.0000 0.0000 5.3220 0.0000 0.0000 0.0000 5.3220" Properties=species:S:1:pos:R:3 comment="GGA-PBE SnAs3I, optimized geometry" magmom_total_mub_per_cell=0.00 dft_energy_ev_per_atom=-3.01 formation_energy_uncorrected_ev_per_atom=0.889 pbc="T T T"
As 2.6610 0.0000 0.0000
As 0.0000 2.6610 0.0000
As 0.0000 0.0000 2.6610
I 2.6610 2.6610 2.6610
Sn 0.0000 0.0000 0.0000

=====

# 9
10
Lattice="9.3957 0.0000 0.0000 0.0000 9.3957 0.0000 0.0000 0.0000 3.5700" Properties=species:S:1:pos:R:3 comment="GGA-PBE Sn2As2I, optimized geometry" magmom_total_mub_per_cell=0.00 dft_energy_ev_per_atom=-3.68 formation_energy_uncorrected_ev_per_atom=0.095 pbc="T T T"
Sn 3.3688 8.0667 0.0000
Sn 8.0667 6.0269 0.0000
Sn 1.3290 3.3688 0.0000
Sn 6.0269 1.3290 0.0000
As 0.9265 5.6244 1.7850
As 5.6244 8.4692 1.7850
As 8.4692 3.7713 1.7850
As 3.7713 0.9265 1.7850
I 4.6979 4.6979 0.0000
I 0.0000 0.0000 0.0000

=====

# 10
4
Lattice="4.2881 0.0000 0.0000 2.1441 3.7136 0.0000 2.1441 1.2379 8.1627" Properties=species:S:1:pos:R:3 comment="GGA-PBE Sn2AsI, optimized geometry" magmom_total_mub_per_cell=0.00 dft_energy_ev_per_atom=-3.71 formation_energy_uncorrected_ev_per_atom=-0.161 pbc="T T T"
I 4.2881 2.4757 4.3712
As 6.4322 3.7136 8.1272
Sn 2.1441 1.2379 1.4339
Sn 2.1441 1.2379 6.4744

=====

# 11
10
Lattice="9.1271 0.0000 0.0000 0.0000 9.1271 0.0000 0.0000 0.0000 3.6233" Properties=species:S:1:pos:R:3 comment="GGA-PBE Sn2As2I, optimized geometry" magmom_total_mub_per_cell=0.00 dft_energy_ev_per_atom=-3.67 formation_energy_uncorrected_ev_per_atom=0.098 pbc="T T T"
Sn 1.3603 5.9239 1.8117
Sn 3.2033 1.3603 1.8117
Sn 5.9239 7.7668 1.8117
Sn 7.7668 3.2033 1.8117
I 0.0000 0.0000 0.0000
I 4.5636 4.5636 0.0000
As 5.4719 0.9084 0.0000
As 3.6552 8.2188 0.0000
As 8.2188 5.4719 0.0000
As 0.9084 3.6552 0.0000

=====

# 12
5
Lattice="4.2638 0.0000 0.0000 0.0000 4.2638 0.0000 2.1319 2.1319 8.0064" Properties=species:S:1:pos:R:3 comment="GGA-PBE Sn2As2I, optimized geometry" magmom_total_mub_per_cell=0.00 dft_energy_ev_per_atom=-3.82 formation_energy_uncorrected_ev_per_atom=-0.050 pbc="T T T"
As 2.1319 4.2638 4.0032
As 4.2638 2.1319 4.0032
Sn 2.1319 2.1319 1.9467
Sn 4.2638 4.2638 6.0597
I 0.0000 0.0000 0.0000

=====

# 13
11
Lattice="-2.8190 5.2538 5.1252 -3.3160 -6.9328 4.1684 7.8590 -0.5659 3.7884" Properties=species:S:1:pos:R:3 comment="GGA-PBE SnAs2I8, optimized geometry" magmom_total_mub_per_cell=0.00 dft_energy_ev_per_atom=-2.54 formation_energy_uncorrected_ev_per_atom=-0.200 pbc="T T T"
I 1.9511 -3.0658 6.0110
I 4.2900 1.5670 8.7270
I -2.5662 -3.8118 4.3551
I 0.3505 -0.4265 3.1592
I -3.0808 -2.6326 8.9776
I -0.2272 0.8209 7.0711
I 1.3734 -1.8184 9.9229
I 4.8047 0.3877 4.1044
Sn 0.0000 0.0000 0.0000
As 2.5459 -3.9700 8.3530
As -0.8220 1.7251 4.7290

=====

# 14
4
Lattice="4.1862 0.0011 -1.1976 -2.2630 3.7199 -0.0056 0.0415 0.0284 8.0466" Properties=species:S:1:pos:R:3 comment="GGA-PBE Sn2AsI, optimized geometry" magmom_total_mub_per_cell=0.00 dft_energy_ev_per_atom=-3.73 formation_energy_uncorrected_ev_per_atom=-0.183 pbc="T T T"
Sn 1.6684 1.0196 5.8199
Sn 0.2962 2.7300 1.0235
I -1.1106 1.8740 4.0204
As -2.2629 3.7199 -0.0056

=====

# 15
5
Lattice="5.4602 0.0000 0.0000 0.0000 5.4602 0.0000 2.7301 2.7301 4.7412" Properties=species:S:1:pos:R:3 comment="GGA-PBE Sn2As2I, optimized geometry" magmom_total_mub_per_cell=0.00 dft_energy_ev_per_atom=-3.85 formation_energy_uncorrected_ev_per_atom=-0.078 pbc="T T T"
As 5.4602 5.4602 3.5135
As 2.7301 2.7301 1.2277
I 0.0000 0.0000 0.0000
Sn 2.7301 5.4602 2.3706
Sn 5.4602 2.7301 2.3706

=====

# 16
5
Lattice="-2.3978 1.3067 5.1519 0.3977 -5.5919 1.6034 5.3001 1.0108 2.2104" Properties=species:S:1:pos:R:3 comment="GGA-PBE Sn3AsI, optimized geometry" magmom_total_mub_per_cell=0.00 dft_energy_ev_per_atom=-2.59 formation_energy_uncorrected_ev_per_atom=1.048 pbc="T T T"
Sn 0.1989 -2.7960 0.8017
Sn -1.1989 0.6534 2.5759
Sn 2.6501 0.5054 1.1052
As 1.6500 -1.6372 4.4828
I 0.0000 0.0000 0.0000

=====

# 17
8
Lattice="8.0991 0.0000 0.0000 0.0000 8.0991 0.0000 4.0496 4.0496 4.1463" Properties=species:S:1:pos:R:3 comment="GGA-PBE Sn2AsI, optimized geometry" magmom_total_mub_per_cell=0.00 dft_energy_ev_per_atom=-3.51 formation_energy_uncorrected_ev_per_atom=0.040 pbc="T T T"
I 0.0000 0.0000 0.0000
I 8.0991 4.0496 2.0731
As 4.0496 8.0991 2.0731
As 4.0496 4.0496 0.0000
Sn 5.6337 2.0248 1.0366
Sn 2.4654 6.0743 1.0366
Sn 6.0743 6.5150 3.1097
Sn 10.1239 9.6832 3.1097

=====

# 18
14
Lattice="4.5039 0.0765 -0.2311 0.1568 8.1870 -2.3843 -0.8803 -3.5174 19.6577" Properties=species:S:1:pos:R:3 comment="GGA-PBE SnAsI5, optimized geometry" magmom_total_mub_per_cell=0.00 dft_energy_ev_per_atom=-2.64 formation_energy_uncorrected_ev_per_atom=-0.300 pbc="T T T"
Sn 3.4381 1.2260 1.4513
Sn 0.3422 3.5200 15.5910
I 3.2785 -1.9006 13.4756
I 2.6241 1.4277 15.3446
I 2.4068 -2.1660 18.1251
I 0.6677 4.2540 8.2351
I 3.1126 0.4919 8.8073
I 1.3735 6.9120 -1.0828
I 0.5018 6.6466 3.5668
I 2.8757 1.9987 5.0182
I 1.1562 3.3182 1.6977
I 0.9046 2.7473 12.0241
As 3.6132 3.8941 10.1189
As 0.1671 0.8519 6.9234

=====

# 19
4
Lattice="-3.5301 -1.6404 2.2708 0.6604 -2.5440 3.6607 -1.0700 5.7683 6.9756" Properties=species:S:1:pos:R:3 comment="GGA-PBE Sn2AsI, optimized geometry" magmom_total_mub_per_cell=0.00 dft_energy_ev_per_atom=-3.58 formation_energy_uncorrected_ev_per_atom=-0.032 pbc="T T T"
Sn -2.9089 -1.7085 7.6592
Sn -1.0308 3.2924 5.2479
I 0.0000 0.0000 0.0000
As -1.9698 0.7919 6.4536

=====

# 20
5
Lattice="-3.2085 -2.2351 -3.9984 -2.7088 -3.0108 3.8568 -3.6939 4.1493 0.6447" Properties=species:S:1:pos:R:3 comment="GGA-PBE Sn3AsI, optimized geometry" magmom_total_mub_per_cell=0.00 dft_energy_ev_per_atom=-3.26 formation_energy_uncorrected_ev_per_atom=0.380 pbc="T T T"
I -4.8056 -0.5483 0.2516
Sn -1.3544 -1.5054 1.9284
Sn -1.6043 -1.1176 -1.9992
Sn -1.8470 2.0746 0.3224
As 0.0000 0.0000 0.0000

=====

Calculated volume for the records above, in order: 464.5; 117.7; 275.5; 327.9; 782.4; 357.3; 514.8; 150.7; 315.2; 130.0; 301.8; 145.6; 594.4; 125.6; 141.4; 198.2; 272.0; 685.5; 153.6; 174.9 Å³ per cell